Computed, not measured: an optimized crystal structure of TaZnNi2 at the GGA-PBEsol level of DFT.

Values from the calculation:
Calculated formation energy: -1.02 eV/f.u.
Mass density: 11.91 g cm⁻³
D(E_F): 2.4 states/eV per cell
Calculated total energy: -0.505 Ry per atom
Space-group type: P4/mmm (123)
Volume: 12.68 Å³ per atom

The structure in POSCAR format:
```
TaZnNi2
1.0
-2.129 1.351 1.043
-0.649 -2.183 1.502
3.941 2.306 5.054
Ni Zn Ta
2 1 1
Cartesian
2.880 1.685 3.694 Ni
1.060 0.620 1.360 Ni
0.581 0.737 3.800 Zn
-1.389 -0.416 1.273 Ta
```


Computed, not measured: an optimized crystal structure of TaZn2Ni at the GGA-PBEsol level of DFT.

Values from the calculation:
Calculated formation energy: 0.42 eV/f.u.
Mass density: 11.37 g cm⁻³
D(E_F): 3.8 states/eV per cell
Calculated total energy: -0.394 Ry per atom
Space-group type: Fm-3m (225)
Volume: 13.53 Å³ per atom

The structure in POSCAR format:
```
TaZn2Ni
1.0
4.246 0.000 0.000
2.123 3.677 0.000
2.123 1.226 3.467
Ni Ta Zn
1 1 2
Cartesian
0.000 0.000 0.000 Ni
4.246 2.451 1.733 Ta
6.369 3.677 2.600 Zn
2.123 1.226 0.867 Zn
```


Computed, not measured: an optimized crystal structure of TaZnNi at the GGA-PBEsol level of DFT.

Values from the calculation:
Calculated formation energy: -0.50 eV/f.u.
Mass density: 12.49 g cm⁻³
D(E_F): 1.0 states/eV per cell
Calculated total energy: -0.509 Ry per atom
Space-group type: P-6m2 (187)
Volume: 13.52 Å³ per atom

The structure in POSCAR format:
```
TaZnNi
1.0
-1.145 -1.448 -1.913
-0.571 -3.144 2.721
-2.958 2.943 -0.457
Ni Zn Ta
1 1 1
Cartesian
-0.573 -0.724 -0.957 Ni
-2.735 0.190 -0.354 Zn
-1.366 -1.115 1.662 Ta
```